# Pm12PrRh7

Crystalline Pm12PrRh7 at its relaxed geometry (PBE-GGA, the Alexandria database).

```
Pm12PrRh7
1.0
8.984 -0.077 -0.115
-2.572 8.608 -0.115
-2.572 -3.422 7.900
Pm Pr Rh
12 1 7
direct
0.925 0.305 0.773
0.382 0.461 0.158
0.539 0.842 0.618
0.461 0.158 0.382
0.618 0.539 0.842
0.842 0.618 0.539
0.227 0.075 0.695
0.695 0.227 0.075
0.158 0.382 0.461
0.305 0.773 0.925
0.773 0.925 0.305
0.075 0.695 0.227
0.000 0.000 0.000
0.877 0.961 0.639
0.123 0.039 0.361
0.039 0.361 0.123
0.500 0.500 0.500
0.961 0.639 0.877
0.361 0.123 0.039
0.639 0.877 0.961
```

Computed properties:
The space group is R-3 (148). For the formation energy, the calculation gives -474 meV/atom.

---

# PmPr3Rh

Crystalline PmPr3Rh at its relaxed geometry (PBE-GGA, the Alexandria database).

```
PmPr3Rh
1.0
7.473 0.708 0.848
-3.051 6.859 -0.848
-3.156 -3.231 6.055
Pm Pr Rh
2 6 2
direct
0.538 0.831 0.207
0.623 0.331 0.793
0.072 0.833 0.342
0.072 0.231 0.739
0.022 0.731 0.791
0.492 0.333 0.261
0.492 0.731 0.658
0.940 0.231 0.209
0.152 0.533 0.119
0.413 0.033 0.881
```

Computed properties:
The energy above the lowest structure with this stoichiometry is 0.0 meV per atom. The space group is Ima2 (46). For the formation energy, the calculation gives -285 meV/atom.

---

We obtain E_tot values of -6.14, -5.57 eV/atom for the records listed above, in that order.
We obtain magnetization values of 0.00, 0.00 μB per formula unit for the records listed above, in that order.
We obtain DOS(E_F) values of 17.06, 5.67 states/eV/f.u. for the records listed above, in that order.